# 1
Below is a geometry-optimized NaNd4Te6 structure, with properties calculated at the GGA-PBE level.

Unit cell a=12.6249 b=12.6249 c=15.0655 alpha=90.00 beta=90.00 gamma=120.00
Space group R-3c (No. 167, hexagonal axes)
Unique sites:
Na  0.0000  0.0000  0.0000 (multiplicity 6)
Nd  0.0000  0.0000  0.2500 (multiplicity 6)
Nd  0.0000  0.3940  0.2500 (multiplicity 18)
Te  0.0306  0.2076  0.3833 (multiplicity 36)

DFT total energy, eV/atom: -4.8608

---

# 2
Below is a geometry-optimized Na3NdTe3 structure, with properties calculated at the GGA-PBE level.

Unit cell a=8.6753 b=8.6753 c=22.8082 alpha=90.00 beta=90.00 gamma=120.00
Space group R-3 (No. 148, hexagonal axes)
Unique sites:
Na  0.0105  0.2884  0.1160 (multiplicity 18)
Nd  0.0000  0.0000  0.3345 (multiplicity 6)
Te  0.0072  0.3804  0.9232 (multiplicity 18)

DFT total energy, eV/atom: -3.6871

---

# 3
Below is a geometry-optimized NaNd2Te3 structure, with properties calculated at the GGA-PBE level.

Unit cell a=4.4885 b=6.3891 c=13.6620 alpha=90.00 beta=90.00 gamma=90.00
Space group Immm (No. 71)
Unique sites:
Na  0.0000  0.0000  0.0000 (multiplicity 2)
Nd  0.0000  0.0000  0.3348 (multiplicity 4)
Te  0.0000  0.5000  0.0000 (multiplicity 2)
Te  0.0000  0.5000  0.3328 (multiplicity 4)

DFT total energy, eV/atom: -4.7407

---

# 4
Below is a geometry-optimized NaNd4Te5 structure, with properties calculated at the GGA-PBE level.

Unit cell a=4.5192 b=6.3548 c=22.6127 alpha=90.00 beta=90.00 gamma=90.00
Space group Immm (No. 71)
Unique sites:
Na  0.0000  0.0000  0.0000 (multiplicity 2)
Nd  0.0000  0.0000  0.2033 (multiplicity 4)
Nd  0.0000  0.0000  0.3991 (multiplicity 4)
Te  0.0000  0.5000  0.0000 (multiplicity 2)
Te  0.0000  0.5000  0.1988 (multiplicity 4)
Te  0.0000  0.5000  0.3988 (multiplicity 4)

DFT total energy, eV/atom: -5.0078

---

# 5
Below is a geometry-optimized NaNdTe4 structure, with properties calculated at the GGA-PBE level.

Unit cell a=6.8961 b=6.8961 c=8.2682 alpha=90.00 beta=90.00 gamma=90.00
Space group P4/nbm (No. 125, origin choice 2)
Unique sites:
Na  0.2500  0.2500  0.0000 (multiplicity 2)
Nd  0.2500  0.2500  0.5000 (multiplicity 2)
Te  0.1050  0.6050  0.2645 (multiplicity 8)

DFT total energy, eV/atom: -3.9868

---

# 6
Below is a geometry-optimized Na3Nd5Te8 structure, with properties calculated at the GGA-PBE level.

Unit cell a=9.0223 b=9.0223 c=22.3619 alpha=90.00 beta=90.00 gamma=120.00
Space group R-3m (No. 166, hexagonal axes)
Unique sites:
Na  0.0000  0.5000  0.0000 (multiplicity 9)
Nd  0.0000  0.0000  0.0000 (multiplicity 3)
Nd  0.0000  0.0000  0.5000 (multiplicity 3)
Nd  0.0000  0.5000  0.5000 (multiplicity 9)
Te  0.0000  0.0000  0.2480 (multiplicity 6)
Te  0.0000  0.5000  0.2500 (multiplicity 18)

DFT total energy, eV/atom: -4.6680